No. 1
Here is crystalline PmPr12Sc3 at its relaxed geometry from Alexandria via LeMat-Bulk. Energies are from GGA-PBE.

Space-group type   P4/mmm, No. 123

The structure in POSCAR format:
```
PmPr12Sc3
1.0
-3.6317 -3.5626 0.5910
1.9437 -2.6347 -3.9384
12.1766 -10.2756 12.8835
Pm Pr Sc
1 12 3
Direct
0.0000 0.0000 0.0000
0.5000 0.5000 0.0000
0.5000 0.5000 0.2535
0.5000 0.5000 0.5000
0.5000 0.5000 0.7465
0.5000 0.0000 0.1299
0.5000 0.0000 0.3767
0.5000 0.0000 0.6233
0.5000 0.0000 0.8701
0.0000 0.5000 0.1299
0.0000 0.5000 0.3767
0.0000 0.5000 0.6233
0.0000 0.5000 0.8701
0.0000 0.0000 0.2532
0.0000 0.0000 0.5000
0.0000 0.0000 0.7468
```

No. 2
Here is crystalline Pm4Pr4Sc at its relaxed geometry from Alexandria via LeMat-Bulk. Energies are from GGA-PBE.

Space-group type   I4/mmm, No. 139
Energy above the lowest structure with this stoichiometry   0.0000 eV/atom

The structure in POSCAR format:
```
Pm4Pr4Sc
1.0
5.1313 0.0000 0.0000
2.5657 7.7201 0.0000
2.5657 0.0000 7.7201
Pm Pr Sc
4 4 1
Direct
0.6688 0.3312 0.3312
0.3312 0.6688 0.6688
0.0000 0.6688 0.3312
0.0000 0.3312 0.6688
0.6638 0.6724 0.9999
0.3362 0.3276 0.0001
0.6638 0.0001 0.6724
0.3362 0.9999 0.3276
0.0000 0.0000 0.0000
```

No. 3
Here is crystalline PmPrSc at its relaxed geometry from Alexandria via LeMat-Bulk. Energies are from GGA-PBE.

Space-group type   Immm, No. 71
Energy above the lowest structure with this stoichiometry   0.2295 eV/atom

The structure in POSCAR format:
```
PmPrSc
1.0
-5.3351 1.3642 3.3729
-1.2000 -3.0317 -0.6719
7.1537 -2.3523 6.0849
Pm Pr Sc
2 2 2
Direct
0.6641 0.1641 0.3282
0.3359 0.8359 0.6718
0.7424 0.5000 0.0000
0.2576 0.5000 0.0000
0.1552 0.6552 0.3104
0.8448 0.3448 0.6896
```

No. 4
Here is crystalline Pm9PrSc2 at its relaxed geometry from Alexandria via LeMat-Bulk. Energies are from GGA-PBE.

Space-group type   P4/mmm, No. 123

The structure in POSCAR format:
```
Pm9PrSc2
1.0
-2.0891 -4.3180 -1.6569
2.4420 0.5142 -4.4189
11.8041 -7.8628 5.6081
Pm Pr Sc
9 1 2
Direct
0.5000 0.5000 0.0000
0.5000 0.5000 0.3379
0.5000 0.5000 0.6621
0.5000 0.0000 0.1735
0.5000 0.0000 0.5000
0.5000 0.0000 0.8265
0.0000 0.5000 0.1735
0.0000 0.5000 0.5000
0.0000 0.5000 0.8265
0.0000 0.0000 0.0000
0.0000 0.0000 0.3366
0.0000 0.0000 0.6634
```

No. 5
Here is crystalline Pm3PrSc3 at its relaxed geometry from Alexandria via LeMat-Bulk. Energies are from GGA-PBE.

Space-group type   P6_3/m, No. 176
Energy above the lowest structure with this stoichiometry   0.0000 eV/atom

The structure in POSCAR format:
```
Pm3PrSc3
1.0
5.5725 0.0000 0.0000
0.0000 9.3958 0.0000
0.0000 -4.6979 8.1370
Pm Pr Sc
6 2 6
Direct
0.2500 0.8028 0.7530
0.2500 0.2470 0.0499
0.2500 0.9501 0.1972
0.7500 0.1972 0.2470
0.7500 0.7530 0.9501
0.7500 0.0499 0.8028
0.2500 0.6667 0.3333
0.7500 0.3333 0.6667
0.7500 0.6132 0.5156
0.7500 0.4844 0.0976
0.7500 0.9024 0.3868
0.2500 0.3868 0.4844
0.2500 0.5156 0.9024
0.2500 0.0976 0.6132
```

No. 6
Here is crystalline PmPr2Sc at its relaxed geometry from Alexandria via LeMat-Bulk. Energies are from GGA-PBE.

Space-group type   P4/mmm, No. 123
Energy above the lowest structure with this stoichiometry   0.0000 eV/atom

The structure in POSCAR format:
```
PmPr2Sc
1.0
-1.5479 -2.3371 4.1742
-0.8002 -4.2451 -2.6735
4.7669 -1.4873 0.9349
Pr Sc Pm
2 1 1
Direct
0.0000 0.0000 0.5000
0.0000 0.5000 0.0000
0.5000 0.0000 0.0000
0.5000 0.5000 0.5000
```

In order of appearance, density of states at the Fermi level = 22.08 13.44 5.60 20.13 13.46 5.24 states/eV/f.u..
In order of appearance, ΔE_f = 34 29 291 36 56 38 meV/atom.